*i*
Compound: TiSb3Br
Source: the Alexandria database
Functional: PBE
Structure: optimized geometry

Geometry as extended XYZ:
```
5
Lattice="5.379 0.000 0.000 0.000 5.379 0.000 0.000 0.000 5.379" Properties=species:S:1:pos:R:3 pbc="T T T"
Sb 2.690 0.000 0.000
Sb 0.000 2.690 0.000
Ti 2.690 2.690 2.690
Br 0.000 0.000 0.000
Sb 0.000 0.000 2.690
```

Output
* SG: Pm-3m (221)



*ii*
Compound: TiSb3Br
Source: the Alexandria database
Functional: PBE
Structure: optimized geometry

Geometry as extended XYZ:
```
5
Lattice="5.254 0.000 0.000 0.000 5.254 0.000 0.000 0.000 5.254" Properties=species:S:1:pos:R:3 pbc="T T T"
Br 2.627 2.627 2.627
Ti 0.000 0.000 0.000
Sb 0.000 0.000 2.627
Sb 0.000 2.627 0.000
Sb 2.627 0.000 0.000
```

Output
* SG: Pm-3m (221)



Unit: meV per atom. Relative energies: *i* 1156; *ii* 0.